# 1
A geometry-optimized SrCa3 structure. Source: the Alexandria database, functional GGA-PBEsol.

Results
Space-group type: Immm, No. 71
Formation energy in eV/atom: 0.024

abc: 4.424 6.225 7.282
angles: 115.30 107.68 90.00
Fractional positions:
Ca  0.500  0.000  0.000
Ca  0.244  0.244  0.488
Ca  0.756  0.756  0.512
Sr  0.000  0.500  0.000

---

# 2
A geometry-optimized Dy2TeO6 structure. Source: the Alexandria database, functional GGA-PBEsol.

Results
ΔE_f (raw) in eV/atom: -2.615
Space-group type: P2_12_12_1, No. 19

abc: 5.250 9.034 9.890
angles: 90.00 90.00 90.00
Fractional positions:
O  0.313  0.142  0.764
O  0.418  0.344  0.973
O  0.267  0.614  0.932
Dy  0.522  0.103  0.963
Dy  0.978  0.897  0.463
O  0.831  0.052  0.300
Dy  0.478  0.603  0.537
O  0.678  0.641  0.321
O  0.687  0.642  0.736
O  0.918  0.156  0.027
O  0.747  0.588  0.994
O  0.822  0.359  0.821
Dy  0.540  0.218  0.367
Dy  0.040  0.282  0.633
Te  0.460  0.995  0.649
O  0.669  0.948  0.800
O  0.582  0.844  0.527
Dy  0.960  0.782  0.867
O  0.233  0.386  0.432
O  0.169  0.552  0.200
O  0.253  0.088  0.506
O  0.187  0.858  0.264
O  0.322  0.141  0.179
O  0.813  0.358  0.236
O  0.331  0.448  0.700
O  0.753  0.412  0.494
O  0.733  0.114  0.568
O  0.247  0.912  0.006
O  0.767  0.886  0.068
O  0.082  0.656  0.473
Te  0.040  0.005  0.149
Te  0.540  0.495  0.851
Te  0.960  0.505  0.351
Dy  0.022  0.397  0.037
O  0.178  0.859  0.679
Dy  0.460  0.718  0.133

---

Number 1: distance to the lowest polymorph of the same formula 0.30 kcal/mol of atoms, DOS(E_F) 5.1 states/eV/cell, V 42.685 Å³/atom. Number 2: distance to the lowest polymorph of the same formula 0.00 kcal/mol of atoms, DOS(E_F) 0.0 states/eV/cell, V 13.031 Å³/atom.